Record 1
## Cd2CuRe (PBEsol)

Data for Cd2CuRe after structural relaxation.

For the total energy, the calculation gives -67.6 eV for the cell shown. The value obtained for the formation energy is 0.789 eV/atom.

The structure belongs to space group Fm-3m (No. 225); the cell edges are 6.4031, 6.4031 and 6.4031 Å and the angles 90.00°, 90.00° and 90.00°. The distinct sites, in fractional coordinates, are Cd at (0.2500, 0.2500, 0.2500), Cu at (0.0000, 0.0000, 0.0000) and Re at (0.0000, 0.0000, 0.5000).



Record 2
## ZnCuIr2 (PBEsol)

Data for ZnCuIr2 after structural relaxation.

For the total energy, the calculation gives -51.3 eV for the cell shown. The value obtained for the formation energy is -0.028 eV/atom.

The structure belongs to space group C2/m (No. 12); the cell edges are 8.5816, 2.7010 and 4.6805 Å and the angles 90.00°, 100.61° and 90.00°. The distinct sites, in fractional coordinates, are Zn at (0.0000, 0.0000, 0.0000), Cu at (0.0000, 0.5000, 0.5000) and Ir at (0.2495, 0.5000, 0.2520).



Record 3
## Na2YPCO7 (PBEsol)

Data for Na2YPCO7 after structural relaxation.

For the total energy, the calculation gives -180.6 eV for the cell shown. The uncorrected formation energy is -2.373 eV per atom.

The structure belongs to space group P2_1/m (No. 11); the cell edges are 5.0289, 6.9377 and 9.3761 Å and the angles 90.00°, 90.60° and 90.00°. The distinct sites, in fractional coordinates, are Na at (0.2398, 0.0119, 0.2096), Y at (0.2253, 0.2500, 0.6253), P at (0.3039, 0.7500, 0.5857), C at (0.2589, 0.2500, 0.9154), O at (0.0286, 0.2500, 0.8491), O at (0.1852, 0.5673, 0.6530), O at (0.2437, 0.7500, 0.4210), O at (0.2853, 0.2500, 0.0487), O at (0.3877, 0.2500, 0.3983) and O at (0.4643, 0.2500, 0.8287).



Record 4
## HgIrSe2 (PBEsol)

Data for HgIrSe2 after structural relaxation.

For the total energy, the calculation gives -17.5 eV for the cell shown. The uncorrected formation energy is 0.135 eV per atom.

The structure belongs to space group Pm (No. 6); the cell edges are 4.3665, 4.3560 and 5.2213 Å and the angles 90.00°, 90.08° and 90.00°. The distinct sites, in fractional coordinates, are Hg at (0.0000, 0.0000, 0.0000), Ir at (0.4982, 0.5000, 0.4997), Se at (0.4989, 0.0000, 0.6855) and Se at (0.9979, 0.5000, 0.3158).



How do the records compare in density of states at the Fermi level? In the order shown, they have 2.748; 3.893; 0.000; 1.381 states/eV/f.u..
How do the records compare in mass density? In the order shown, they have 12.007; 15.989; 2.943; 9.209 g cm⁻³.